Entry 1:
# NpSb2Pt, optimized geometry, DFT PBE-GGA
# * raw formation energy: 162 meV per atom
data_NpSb2Pt
_chemical_formula_sum 'Np3 Sb6 Pt3'
_cell_length_a 3.4303
_cell_length_b 3.4303
_cell_length_c 30.1964
_cell_angle_alpha 90.00
_cell_angle_beta 90.00
_cell_angle_gamma 120.00
_symmetry_space_group_name_H-M 'R -3 m'
_symmetry_Int_Tables_number 166
_symmetry_space_group_name_Hall '-R 3 2"'
loop_
_atom_site_label
_atom_site_type_symbol
_atom_site_fract_x
_atom_site_fract_y
_atom_site_fract_z
_atom_site_occupancy
Np1 Np 0.0000 0.0000 0.0000 1
Sb1 Sb 0.0000 0.0000 0.1041 1
Pt1 Pt 0.0000 0.0000 0.5000 1

Entry 2:
# BeSbPt2, optimized geometry, DFT PBE-GGA
# * raw formation energy: -144 meV per atom
# * distance to the lowest polymorph of the same formula: 0.263 eV per atom
data_BeSbPt2
_chemical_formula_sum 'Be4 Sb4 Pt8'
_cell_length_a 6.3463
_cell_length_b 6.3463
_cell_length_c 6.3463
_cell_angle_alpha 90.00
_cell_angle_beta 90.00
_cell_angle_gamma 90.00
_symmetry_space_group_name_H-M 'F m -3 m'
_symmetry_Int_Tables_number 225
_symmetry_space_group_name_Hall '-F 4 2 3'
loop_
_atom_site_label
_atom_site_type_symbol
_atom_site_fract_x
_atom_site_fract_y
_atom_site_fract_z
_atom_site_occupancy
Be1 Be 0.0000 0.0000 0.0000 1
Sb1 Sb 0.0000 0.0000 0.5000 1
Pt1 Pt 0.2500 0.2500 0.2500 1

Entry 3:
# Ac3CdSn2Au6, optimized geometry, DFT PBE-GGA
# * energy: -3.963 eV/atom
data_Ac3CdSn2Au6
_chemical_formula_sum 'Ac3 Cd1 Sn2 Au6'
_cell_length_a 6.4837
_cell_length_b 6.4837
_cell_length_c 8.9064
_cell_angle_alpha 90.00
_cell_angle_beta 90.00
_cell_angle_gamma 120.00
_symmetry_space_group_name_H-M 'P -3 m 1'
_symmetry_Int_Tables_number 164
_symmetry_space_group_name_Hall '-P 3 2"'
loop_
_atom_site_label
_atom_site_type_symbol
_atom_site_fract_x
_atom_site_fract_y
_atom_site_fract_z
_atom_site_occupancy
Ac1 Ac 0.0000 0.0000 0.0000 1
Ac2 Ac 0.3333 0.6667 0.6311 1
Cd1 Cd 0.0000 0.0000 0.5000 1
Sn1 Sn 0.3333 0.6667 0.0319 1
Au1 Au 0.1803 0.3606 0.2846 1

Entry 4:
# NbGeN, optimized geometry, DFT PBE-GGA
# * raw formation energy: -393 meV per atom
# * distance to the lowest polymorph of the same formula: 0.077 eV per atom
data_NbGeN
_chemical_formula_sum 'Nb4 Ge4 N4'
_cell_length_a 12.5442
_cell_length_b 2.9024
_cell_length_c 5.3845
_cell_angle_alpha 90.00
_cell_angle_beta 103.12
_cell_angle_gamma 90.00
_symmetry_space_group_name_H-M 'C 1 2/m 1'
_symmetry_Int_Tables_number 12
_symmetry_space_group_name_Hall '-C 2y'
loop_
_atom_site_label
_atom_site_type_symbol
_atom_site_fract_x
_atom_site_fract_y
_atom_site_fract_z
_atom_site_occupancy
Nb1 Nb 0.0591 0.0000 0.2846 1
Ge1 Ge 0.2472 0.0000 0.7273 1
N1 N 0.0000 0.5000 0.0000 1
N2 N 0.0000 0.5000 0.5000 1

Entry 5:
# LiSbS2N, optimized geometry, DFT PBE-GGA
# * raw formation energy: 447 meV per atom
# * distance to the lowest polymorph of the same formula: 0.000 eV per atom
data_LiSbS2N
_chemical_formula_sum 'Li1 Sb1 S2 N1'
_cell_length_a 5.0766
_cell_length_b 5.0766
_cell_length_c 4.0612
_cell_angle_alpha 90.00
_cell_angle_beta 90.00
_cell_angle_gamma 90.00
_symmetry_space_group_name_H-M 'P 4/m m m'
_symmetry_Int_Tables_number 123
_symmetry_space_group_name_Hall '-P 4 2'
loop_
_atom_site_label
_atom_site_type_symbol
_atom_site_fract_x
_atom_site_fract_y
_atom_site_fract_z
_atom_site_occupancy
Li1 Li 0.0000 0.0000 0.0000 1
Sb1 Sb 0.5000 0.5000 0.5000 1
S1 S 0.0000 0.5000 0.5000 1
N1 N 0.5000 0.5000 0.0000 1

Entry 6:
# BSBr2, optimized geometry, DFT PBE-GGA
# * raw formation energy: 1599 meV per atom
# * distance to the lowest polymorph of the same formula: 0.834 eV per atom
data_BSBr2
_chemical_formula_sum 'B4 S4 Br8'
_cell_length_a 6.8799
_cell_length_b 6.8799
_cell_length_c 6.8799
_cell_angle_alpha 90.00
_cell_angle_beta 90.00
_cell_angle_gamma 90.00
_symmetry_space_group_name_H-M 'F m -3 m'
_symmetry_Int_Tables_number 225
_symmetry_space_group_name_Hall '-F 4 2 3'
loop_
_atom_site_label
_atom_site_type_symbol
_atom_site_fract_x
_atom_site_fract_y
_atom_site_fract_z
_atom_site_occupancy
B1 B 0.0000 0.0000 0.0000 1
S1 S 0.0000 0.0000 0.5000 1
Br1 Br 0.2500 0.2500 0.2500 1

Entry 7:
# HfGe2Rh4, optimized geometry, DFT PBE-GGA
# * distance to the lowest polymorph of the same formula: 0.970 eV per atom
data_HfGe2Rh4
_chemical_formula_sum 'Hf2 Ge4 Rh8'
_cell_length_a 4.7942
_cell_length_b 4.7942
_cell_length_c 12.2579
_cell_angle_alpha 90.00
_cell_angle_beta 90.00
_cell_angle_gamma 90.00
_symmetry_space_group_name_H-M 'I 4/m m m'
_symmetry_Int_Tables_number 139
_symmetry_space_group_name_Hall '-I 4 2'
loop_
_atom_site_label
_atom_site_type_symbol
_atom_site_fract_x
_atom_site_fract_y
_atom_site_fract_z
_atom_site_occupancy
Hf1 Hf 0.0000 0.0000 0.0000 1
Ge1 Ge 0.0000 0.0000 0.3940 1
Rh1 Rh 0.0000 0.0000 0.2013 1
Rh2 Rh 0.0000 0.5000 0.0000 1

Entry 8:
# BaRh3C, optimized geometry, DFT PBE-GGA
# * distance to the lowest polymorph of the same formula: 0.000 eV per atom
data_BaRh3C
_chemical_formula_sum 'Ba1 Rh3 C1'
_cell_length_a 4.3376
_cell_length_b 4.3376
_cell_length_c 4.3376
_cell_angle_alpha 90.00
_cell_angle_beta 90.00
_cell_angle_gamma 90.00
_symmetry_space_group_name_H-M 'P m -3 m'
_symmetry_Int_Tables_number 221
_symmetry_space_group_name_Hall '-P 4 2 3'
loop_
_atom_site_label
_atom_site_type_symbol
_atom_site_fract_x
_atom_site_fract_y
_atom_site_fract_z
_atom_site_occupancy
Ba1 Ba 0.0000 0.0000 0.0000 1
Rh1 Rh 0.0000 0.5000 0.5000 1
C1 C 0.5000 0.5000 0.5000 1